! PBE AlInSeN2, relaxed; values from VASP
! - SG: P4/mmm
! - Polymorph energy (0 for the lowest one): 0.796 eV per atom
! - Formation energy (no corrections): 1.33 eV/atom
&SYSTEM
  ibrav = 0, nat = 5, ntyp = 4
/
ATOMIC_SPECIES
N 14.01 N.upf
Al 26.98 Al.upf
In 114.82 In.upf
Se 78.96 Se.upf
CELL_PARAMETERS angstrom
-3.139 -0.151 2.753
0.379 -4.156 0.204
3.826 0.564 4.393
ATOMIC_POSITIONS crystal
N 0.500 0.000 0.000
N 0.000 0.500 0.000
Al 0.500 0.500 0.500
In 0.000 0.000 0.000
Se 0.000 0.000 0.500



! PBE AlInSe2N, relaxed; values from VASP
! - SG: P4/mmm
! - Polymorph energy (0 for the lowest one): 0.816 eV per atom
! - Formation energy (no corrections): 0.90 eV/atom
&SYSTEM
  ibrav = 0, nat = 5, ntyp = 4
/
ATOMIC_SPECIES
In 114.82 In.upf
Se 78.96 Se.upf
Al 26.98 Al.upf
N 14.01 N.upf
CELL_PARAMETERS angstrom
-3.075 4.414 0.082
-3.908 -2.675 -2.554
-1.560 -1.153 3.594
ATOMIC_POSITIONS crystal
In 0.000 0.000 0.000
Se 0.500 0.000 0.000
Se 0.000 0.500 0.000
Al 0.500 0.500 0.500
N 0.000 0.000 0.500



! PBE Sm12Al4InN3, relaxed; values from VASP
! - SG: Im-3m
! - Formation energy (no corrections): -0.45 eV/atom
&SYSTEM
  ibrav = 0, nat = 20, ntyp = 4
/
ATOMIC_SPECIES
N 14.01 N.upf
Sm 150.36 Sm.upf
Al 26.98 Al.upf
In 114.82 In.upf
CELL_PARAMETERS angstrom
8.851 0.000 0.000
-2.950 8.345 0.000
-2.950 -4.172 7.227
ATOMIC_POSITIONS crystal
N 0.000 0.500 0.500
N 0.500 0.500 0.000
N 0.500 0.000 0.500
Sm 0.725 0.000 0.725
Sm 0.250 0.500 0.750
Sm 0.500 0.250 0.750
Sm 0.275 0.275 0.000
Sm 0.725 0.725 0.000
Sm 0.275 0.000 0.275
Sm 0.500 0.750 0.250
Sm 0.750 0.500 0.250
Sm 0.000 0.725 0.725
Sm 0.750 0.250 0.500
Sm 0.250 0.750 0.500
Sm 0.000 0.275 0.275
Al 0.500 0.000 0.000
Al 0.000 0.500 0.000
Al 0.000 0.000 0.500
Al 0.500 0.500 0.500
In 0.000 0.000 0.000



! PBE AlInSn2N, relaxed; values from VASP
! - SG: P4/mmm
! - Formation energy (no corrections): 1.77 eV/atom
&SYSTEM
  ibrav = 0, nat = 5, ntyp = 4
/
ATOMIC_SPECIES
Sn 118.71 Sn.upf
Al 26.98 Al.upf
In 114.82 In.upf
N 14.01 N.upf
CELL_PARAMETERS angstrom
5.589 0.000 0.000
0.000 5.036 0.000
0.000 0.000 5.589
ATOMIC_POSITIONS crystal
Sn 0.500 0.000 0.000
Sn 0.000 0.000 0.500
Al 0.000 0.500 0.000
In 0.000 0.000 0.000
N 0.500 0.500 0.500



! PBE Ta2AlInN, relaxed; values from VASP
! - SG: P4/mmm
! - Formation energy (no corrections): -0.10 eV/atom
&SYSTEM
  ibrav = 0, nat = 5, ntyp = 4
/
ATOMIC_SPECIES
N 14.01 N.upf
Ta 180.95 Ta.upf
Al 26.98 Al.upf
In 114.82 In.upf
CELL_PARAMETERS angstrom
-0.706 -4.169 0.917
3.784 -0.259 1.736
-1.678 1.125 3.826
ATOMIC_POSITIONS crystal
N 0.000 0.000 0.000
Ta 0.000 0.000 0.500
Ta 0.500 0.000 0.000
Al 0.000 0.500 0.000
In 0.500 0.500 0.500



! PBE Tb12Al4InN3, relaxed; values from VASP
! - SG: Im-3m
! - Formation energy (no corrections): -0.50 eV/atom
&SYSTEM
  ibrav = 0, nat = 20, ntyp = 4
/
ATOMIC_SPECIES
N 14.01 N.upf
Al 26.98 Al.upf
Tb 158.93 Tb.upf
In 114.82 In.upf
CELL_PARAMETERS angstrom
8.670 0.000 0.000
-2.890 8.174 0.000
-2.890 -4.087 7.079
ATOMIC_POSITIONS crystal
N 0.500 0.500 0.000
N 0.500 0.000 0.500
N 0.000 0.500 0.500
Al 0.500 0.500 0.500
Al 0.500 0.000 0.000
Al 0.000 0.500 0.000
Al 0.000 0.000 0.500
Tb 0.275 0.000 0.275
Tb 0.500 0.750 0.250
Tb 0.250 0.750 0.500
Tb 0.750 0.500 0.250
Tb 0.725 0.000 0.725
Tb 0.275 0.275 0.000
Tb 0.000 0.725 0.725
Tb 0.250 0.500 0.750
Tb 0.725 0.725 0.000
Tb 0.500 0.250 0.750
Tb 0.750 0.250 0.500
Tb 0.000 0.275 0.275
In 0.000 0.000 0.000



! PBE AlInTeN2, relaxed; values from VASP
! - SG: P4/mmm
! - Polymorph energy (0 for the lowest one): 0.608 eV per atom
! - Formation energy (no corrections): 1.36 eV/atom
&SYSTEM
  ibrav = 0, nat = 5, ntyp = 4
/
ATOMIC_SPECIES
In 114.82 In.upf
Al 26.98 Al.upf
N 14.01 N.upf
Te 127.60 Te.upf
CELL_PARAMETERS angstrom
-1.871 -1.343 3.530
1.178 -3.951 -0.879
5.409 0.899 3.209
ATOMIC_POSITIONS crystal
In 0.000 0.000 0.000
Al 0.500 0.500 0.500
N 0.500 0.000 0.000
N 0.000 0.500 0.000
Te 0.000 0.000 0.500



! PBE AlInTeN2, relaxed; values from VASP
! - SG: P4/mmm
! - Polymorph energy (0 for the lowest one): 0.000 eV per atom
! - Formation energy (no corrections): 0.76 eV/atom
&SYSTEM
  ibrav = 0, nat = 5, ntyp = 4
/
ATOMIC_SPECIES
N 14.01 N.upf
Te 127.60 Te.upf
In 114.82 In.upf
Al 26.98 Al.upf
CELL_PARAMETERS angstrom
-1.482 -3.639 -0.282
3.018 -1.050 -2.304
3.113 -1.642 4.825
ATOMIC_POSITIONS crystal
N 0.000 0.500 0.000
N 0.500 0.000 0.000
Te 0.000 0.000 0.500
In 0.500 0.500 0.500
Al 0.000 0.000 0.000



! PBE Al2TlInN, relaxed; values from VASP
! - SG: P4/mmm
! - Formation energy (no corrections): 0.28 eV/atom
&SYSTEM
  ibrav = 0, nat = 5, ntyp = 4
/
ATOMIC_SPECIES
Al 26.98 Al.upf
N 14.01 N.upf
Tl 204.38 Tl.upf
In 114.82 In.upf
CELL_PARAMETERS angstrom
4.130 0.000 0.000
0.000 5.640 0.000
0.000 0.000 4.130
ATOMIC_POSITIONS crystal
Al 0.500 0.000 0.000
Al 0.000 0.000 0.500
N 0.000 0.000 0.000
Tl 0.500 0.500 0.500
In 0.000 0.500 0.000



! PBE Na2AlIn2, relaxed; values from VASP
! - SG: I4/mmm
! - Polymorph energy (0 for the lowest one): 0.178 eV per atom
&SYSTEM
  ibrav = 0, nat = 5, ntyp = 3
/
ATOMIC_SPECIES
Na 22.99 Na.upf
In 114.82 In.upf
Al 26.98 Al.upf
CELL_PARAMETERS angstrom
4.169 0.000 0.000
0.000 4.169 0.000
2.084 2.084 7.604
ATOMIC_POSITIONS crystal
Na 0.250 0.750 0.500
Na 0.750 0.250 0.500
In 0.593 0.593 0.815
In 0.407 0.407 0.185
Al 0.000 0.000 0.000



! PBE Na3Al3In8, relaxed; values from VASP
! - SG: Immm
! - Final energy: -37.35 eV per cell
&SYSTEM
  ibrav = 0, nat = 14, ntyp = 3
/
ATOMIC_SPECIES
In 114.82 In.upf
Na 22.99 Na.upf
Al 26.98 Al.upf
CELL_PARAMETERS angstrom
4.967 0.000 1.312
2.017 8.272 2.423
0.322 0.431 8.836
ATOMIC_POSITIONS crystal
In 0.130 0.513 0.227
In 0.870 0.487 0.773
In 0.354 0.347 0.944
In 0.870 0.773 0.487
In 0.646 0.056 0.653
In 0.130 0.227 0.513
In 0.354 0.944 0.347
In 0.646 0.653 0.056
Na 0.500 0.500 0.500
Na 0.228 0.772 0.772
Na 0.772 0.228 0.228
Al 0.500 0.000 0.000
Al 0.000 0.867 0.133
Al 0.000 0.133 0.867



! PBE NaAlIn, relaxed; values from VASP
! - SG: P-6m2
! - Polymorph energy (0 for the lowest one): 0.058 eV per atom
&SYSTEM
  ibrav = 0, nat = 3, ntyp = 3
/
ATOMIC_SPECIES
In 114.82 In.upf
Na 22.99 Na.upf
Al 26.98 Al.upf
CELL_PARAMETERS angstrom
3.241 0.000 0.000
0.000 5.010 0.000
0.000 -2.505 4.339
ATOMIC_POSITIONS crystal
In 0.166 0.000 0.000
Na 0.667 0.333 0.667
Al 0.167 0.667 0.333



! PBE NaAlIn, relaxed; values from VASP
! - SG: I4mm
! - Polymorph energy (0 for the lowest one): 0.070 eV per atom
&SYSTEM
  ibrav = 0, nat = 3, ntyp = 3
/
ATOMIC_SPECIES
In 114.82 In.upf
Na 22.99 Na.upf
Al 26.98 Al.upf
CELL_PARAMETERS angstrom
-1.345 2.572 1.117
-2.371 -0.382 -1.976
-1.644 -5.088 5.406
ATOMIC_POSITIONS crystal
In 0.676 0.676 0.352
Na 0.996 0.996 0.992
Al 0.328 0.328 0.657



! PBE NaAlIn, relaxed; values from VASP
! - SG: P4/nmm
! - Polymorph energy (0 for the lowest one): 0.000 eV per atom
&SYSTEM
  ibrav = 0, nat = 6, ntyp = 3
/
ATOMIC_SPECIES
Al 26.98 Al.upf
In 114.82 In.upf
Na 22.99 Na.upf
CELL_PARAMETERS angstrom
-1.958 -3.293 1.482
3.604 -1.885 0.573
0.475 3.392 8.167
ATOMIC_POSITIONS crystal
Al 0.500 0.500 0.500
Al 0.000 0.000 0.500
In 0.500 0.000 0.734
In 0.000 0.500 0.266
Na 0.000 0.500 0.881
Na 0.500 0.000 0.119



! PBE NaAl4In, relaxed; values from VASP
! - SG: F-43m
! - Final energy: -18.48 eV per cell
&SYSTEM
  ibrav = 0, nat = 6, ntyp = 3
/
ATOMIC_SPECIES
Al 26.98 Al.upf
In 114.82 In.upf
Na 22.99 Na.upf
CELL_PARAMETERS angstrom
5.601 0.000 0.000
2.800 4.850 0.000
2.800 1.617 4.573
ATOMIC_POSITIONS crystal
Al 0.124 0.625 0.625
Al 0.625 0.625 0.124
Al 0.625 0.124 0.625
Al 0.625 0.625 0.625
In 0.250 0.250 0.250
Na 0.000 0.000 0.000



! PBE Na2AlIn6, relaxed; values from VASP
! - SG: C2/m
! - Final energy: -22.77 eV per cell
&SYSTEM
  ibrav = 0, nat = 9, ntyp = 3
/
ATOMIC_SPECIES
In 114.82 In.upf
Na 22.99 Na.upf
Al 26.98 Al.upf
CELL_PARAMETERS angstrom
3.248 0.003 0.006
0.018 7.878 4.526
0.016 0.012 9.085
ATOMIC_POSITIONS crystal
In 0.502 0.000 0.329
In 0.502 0.329 0.000
In 0.498 0.000 0.671
In 0.498 0.671 0.000
In 0.500 0.330 0.670
In 0.500 0.670 0.330
Na 0.000 0.333 0.333
Na 0.000 0.667 0.667
Al 0.000 0.000 0.000



! PBE Na2Al2In, relaxed; values from VASP
! - SG: P4/mbm
! - Polymorph energy (0 for the lowest one): 0.000 eV per atom
&SYSTEM
  ibrav = 0, nat = 10, ntyp = 3
/
ATOMIC_SPECIES
In 114.82 In.upf
Al 26.98 Al.upf
Na 22.99 Na.upf
CELL_PARAMETERS angstrom
-1.006 -3.819 5.871
4.105 -5.128 -2.632
4.098 2.189 2.126
ATOMIC_POSITIONS crystal
In 0.000 0.000 0.000
In 0.500 0.500 0.000
Al 0.629 0.129 0.000
Al 0.129 0.371 0.000
Al 0.371 0.871 0.000
Al 0.871 0.629 0.000
Na 0.828 0.328 0.500
Na 0.672 0.828 0.500
Na 0.328 0.172 0.500
Na 0.172 0.672 0.500



! PBE Na2AlIn2, relaxed; values from VASP
! - SG: P4/mbm
! - Polymorph energy (0 for the lowest one): 0.000 eV per atom
&SYSTEM
  ibrav = 0, nat = 10, ntyp = 3
/
ATOMIC_SPECIES
In 114.82 In.upf
Na 22.99 Na.upf
Al 26.98 Al.upf
CELL_PARAMETERS angstrom
-5.468 -2.974 3.781
2.777 -6.626 -1.195
2.789 0.387 4.337
ATOMIC_POSITIONS crystal
In 0.358 0.858 0.000
In 0.642 0.142 0.000
In 0.858 0.642 0.000
In 0.142 0.358 0.000
Na 0.830 0.330 0.500
Na 0.330 0.170 0.500
Na 0.170 0.670 0.500
Na 0.670 0.830 0.500
Al 0.000 0.000 0.000
Al 0.500 0.500 0.000



! PBE Na12AlIn7, relaxed; values from VASP
! - SG: R-3
! - Final energy: -39.80 eV per cell
&SYSTEM
  ibrav = 0, nat = 20, ntyp = 3
/
ATOMIC_SPECIES
In 114.82 In.upf
Al 26.98 Al.upf
Na 22.99 Na.upf
CELL_PARAMETERS angstrom
8.290 0.147 -1.897
-2.412 7.933 -1.897
0.107 0.147 8.504
ATOMIC_POSITIONS crystal
In 0.914 0.311 0.909
In 0.909 0.914 0.311
In 0.311 0.909 0.914
In 0.086 0.689 0.091
In 0.689 0.091 0.086
In 0.500 0.500 0.500
In 0.091 0.086 0.689
Al 0.000 0.000 0.000
Na 0.762 0.503 0.239
Na 0.916 0.665 0.676
Na 0.676 0.916 0.665
Na 0.503 0.239 0.762
Na 0.335 0.324 0.084
Na 0.239 0.762 0.503
Na 0.238 0.497 0.761
Na 0.497 0.761 0.238
Na 0.084 0.335 0.324
Na 0.665 0.676 0.916
Na 0.324 0.084 0.335
Na 0.761 0.238 0.497



! PBE Na16AlIn12, relaxed; values from VASP
! - SG: Cm
! - Final energy: -60.53 eV per cell
&SYSTEM
  ibrav = 0, nat = 29, ntyp = 3
/
ATOMIC_SPECIES
In 114.82 In.upf
Na 22.99 Na.upf
Al 26.98 Al.upf
CELL_PARAMETERS angstrom
9.715 -0.166 -3.402
-4.941 8.366 -3.402
-0.061 -0.106 10.049
ATOMIC_POSITIONS crystal
In 0.176 0.997 0.371
In 0.627 0.627 0.803
In 0.626 0.807 0.613
In 0.997 0.176 0.371
In 0.998 0.359 0.185
In 0.359 0.998 0.185
In 0.386 0.208 0.019
In 0.820 0.184 0.812
In 0.184 0.820 0.812
In 0.807 0.626 0.613
In 0.792 0.792 0.180
In 0.208 0.386 0.019
Na 0.359 0.359 0.360
Na 0.592 0.276 0.590
Na 0.990 0.657 0.993
Na 0.320 0.320 0.731
Na 0.276 0.592 0.590
Na 0.004 0.004 0.999
Na 0.681 0.994 0.405
Na 0.723 0.306 0.309
Na 0.994 0.681 0.405
Na 0.410 0.004 0.693
Na 0.004 0.410 0.693
Na 0.004 0.004 0.648
Na 0.306 0.723 0.309
Na 0.694 0.410 0.007
Na 0.410 0.694 0.007
Na 0.657 0.990 0.993
Al 0.598 0.598 0.285